Entry 1:
Material: BaLaP3
Method: DFT, GGA-PBE
State: relaxed

a = 5.456 Å, b = 5.456 Å, c = 5.456 Å
α = 90.00°, β = 90.00°, γ = 90.00°
Atoms (fractional coordinates):
Ba: 0.000 0.000 0.000
La: 0.500 0.500 0.500
P: 0.000 0.500 0.500
P: 0.500 0.000 0.500
P: 0.500 0.500 0.000

Computed properties:
* energy: -4.834 eV per atom
* density: 3.774 g/cm3
* DOS(E_F): 7.30 states/eV/cell
* magnetic moment: 0.000 μB/atom
* calculated volume: 162 Å³/cell
* DFT formation energy: -0.22 eV per atom

***

Entry 2:
Material: BaLa2P
Method: DFT, GGA-PBE
State: relaxed

a = 4.174 Å, b = 4.174 Å, c = 32.112 Å
α = 90.00°, β = 90.00°, γ = 120.00°
Atoms (fractional coordinates):
Ba: 0.000 0.000 0.000
Ba: 0.333 0.667 0.667
Ba: 0.667 0.333 0.333
La: 0.000 0.000 0.218
La: 0.000 0.000 0.782
La: 0.333 0.667 0.449
La: 0.333 0.667 0.884
La: 0.667 0.333 0.116
La: 0.667 0.333 0.551
P: 0.000 0.000 0.500
P: 0.333 0.667 0.167
P: 0.667 0.333 0.833

Computed properties:
* energy: -4.993 eV per atom
* density: 4.588 g/cm3
* DOS(E_F): 16.72 states/eV/cell
* magnetic moment: 0.144 μB/atom
* calculated volume: 484 Å³/cell
* DFT formation energy: -0.70 eV per atom

***

Entry 3:
Material: Ba2LaP2
Method: DFT, GGA-PBE
State: relaxed

a = 8.419 Å, b = 8.419 Å, c = 4.520 Å
α = 90.00°, β = 90.00°, γ = 90.00°
Atoms (fractional coordinates):
Ba: 0.140 0.360 0.000
Ba: 0.360 0.860 0.000
Ba: 0.640 0.140 0.000
Ba: 0.860 0.640 0.000
La: 0.000 0.000 0.500
La: 0.500 0.500 0.500
P: 0.172 0.672 0.500
P: 0.328 0.172 0.500
P: 0.672 0.828 0.500
P: 0.828 0.328 0.500

Computed properties:
* energy: -4.882 eV per atom
* density: 4.929 g/cm3
* DOS(E_F): 2.61 states/eV/cell
* magnetic moment: 0.000 μB/atom
* calculated volume: 320 Å³/cell
* DFT formation energy: -0.96 eV per atom

***

Entry 4:
Material: BaLa2P
Method: DFT, GGA-PBE
State: relaxed

a = 4.940 Å, b = 4.940 Å, c = 4.841 Å
α = 90.00°, β = 90.00°, γ = 90.00°
Atoms (fractional coordinates):
Ba: 0.000 0.000 0.000
La: 0.000 0.500 0.500
La: 0.500 0.000 0.500
P: 0.500 0.500 0.000

Computed properties:
* energy: -4.584 eV per atom
* density: 6.269 g/cm3
* DOS(E_F): 4.79 states/eV/cell
* magnetic moment: 0.000 μB/atom
* calculated volume: 118 Å³/cell
* DFT formation energy: -0.29 eV per atom

***

Entry 5:
Material: BaLa2P
Method: DFT, GGA-PBE
State: relaxed

a = 4.846 Å, b = 4.846 Å, c = 10.225 Å
α = 90.00°, β = 90.00°, γ = 90.00°
Atoms (fractional coordinates):
Ba: 0.000 0.000 0.000
Ba: 0.500 0.500 0.500
La: 0.000 0.500 0.250
La: 0.000 0.500 0.750
La: 0.500 0.000 0.250
La: 0.500 0.000 0.750
P: 0.000 0.000 0.500
P: 0.500 0.500 0.000

Computed properties:
* energy: -4.519 eV per atom
* density: 6.170 g/cm3
* DOS(E_F): 10.07 states/eV/cell
* magnetic moment: 0.000 μB/atom
* calculated volume: 240 Å³/cell
* DFT formation energy: -0.22 eV per atom

***

Entry 6:
Material: BaLa2P
Method: DFT, GGA-PBE
State: relaxed

a = 3.886 Å, b = 6.030 Å, c = 12.501 Å
α = 90.00°, β = 90.00°, γ = 90.00°
Atoms (fractional coordinates):
Ba: 0.000 0.000 0.000
Ba: 0.500 0.500 0.500
La: 0.000 0.500 0.173
La: 0.000 0.500 0.827
La: 0.500 0.000 0.327
La: 0.500 0.000 0.673
P: 0.000 0.000 0.500
P: 0.500 0.500 0.000

Computed properties:
* energy: -4.830 eV per atom
* density: 5.058 g/cm3
* DOS(E_F): 11.99 states/eV/cell
* magnetic moment: 0.001 μB/atom
* calculated volume: 293 Å³/cell
* DFT formation energy: -0.53 eV per atom

***

Entry 7:
Material: BaLa2P
Method: DFT, GGA-PBE
State: relaxed

a = 4.178 Å, b = 4.178 Å, c = 31.762 Å
α = 90.00°, β = 90.00°, γ = 120.00°
Atoms (fractional coordinates):
Ba: 0.000 0.000 0.000
Ba: 0.333 0.667 0.667
Ba: 0.667 0.333 0.333
La: 0.000 0.000 0.218
La: 0.000 0.000 0.449
La: 0.333 0.667 0.115
La: 0.333 0.667 0.885
La: 0.667 0.333 0.552
La: 0.667 0.333 0.782
P: 0.000 0.000 0.834
P: 0.333 0.667 0.500
P: 0.667 0.333 0.167

Computed properties:
* energy: -5.001 eV per atom
* density: 4.629 g/cm3
* DOS(E_F): 17.20 states/eV/cell
* magnetic moment: 0.183 μB/atom
* calculated volume: 480 Å³/cell
* DFT formation energy: -0.70 eV per atom

***

Entry 8:
Material: BaLa2P
Method: DFT, GGA-PBE
State: relaxed

a = 3.762 Å, b = 3.762 Å, c = 10.251 Å
α = 90.00°, β = 90.00°, γ = 90.00°
Atoms (fractional coordinates):
Ba: 0.000 0.000 0.000
La: 0.500 0.500 0.345
La: 0.500 0.500 0.655
P: 0.000 0.000 0.500

Computed properties:
* energy: -4.829 eV per atom
* density: 5.107 g/cm3
* DOS(E_F): 6.33 states/eV/cell
* magnetic moment: 0.001 μB/atom
* calculated volume: 145 Å³/cell
* DFT formation energy: -0.53 eV per atom

***

Entry 9:
Material: BaLa2P
Method: DFT, GGA-PBE
State: relaxed

a = 4.750 Å, b = 4.750 Å, c = 10.714 Å
α = 90.00°, β = 90.00°, γ = 90.00°
Atoms (fractional coordinates):
Ba: 0.000 0.000 0.000
Ba: 0.500 0.500 0.500
La: 0.000 0.000 0.500
La: 0.000 0.500 0.750
La: 0.500 0.000 0.250
La: 0.500 0.500 0.000
P: 0.000 0.500 0.250
P: 0.500 0.000 0.750

Computed properties:
* energy: -4.495 eV per atom
* density: 6.128 g/cm3
* DOS(E_F): 9.24 states/eV/cell
* magnetic moment: 0.000 μB/atom
* calculated volume: 242 Å³/cell
* DFT formation energy: -0.20 eV per atom

***

Entry 10:
Material: Ba3La2PaP6
Method: DFT, GGA-PBE
State: relaxed

a = 7.558 Å, b = 7.558 Å, c = 7.742 Å
α = 99.39°, β = 99.39°, γ = 120.02°
Atoms (fractional coordinates):
Ba: 0.000 0.000 0.000
Ba: 0.331 0.669 0.000
Ba: 0.669 0.331 0.000
La: 0.166 0.834 0.500
La: 0.834 0.166 0.500
Pa: 0.500 0.500 0.500
P: 0.118 0.431 0.292
P: 0.258 0.258 0.709
P: 0.431 0.118 0.292
P: 0.569 0.882 0.708
P: 0.742 0.742 0.291
P: 0.882 0.569 0.708

Computed properties:
* energy: -6.003 eV per atom
* density: 5.077 g/cm3
* DOS(E_F): 14.89 states/eV/cell
* magnetic moment: 0.000 μB/atom
* calculated volume: 362 Å³/cell
* DFT formation energy: -1.20 eV per atom

***

Entry 11:
Material: BaLaP2Pd2
Method: DFT, GGA-PBE
State: relaxed

a = 4.263 Å, b = 4.263 Å, c = 8.772 Å
α = 90.00°, β = 90.00°, γ = 120.00°
Atoms (fractional coordinates):
Ba: 0.000 0.000 0.000
La: 0.000 0.000 0.500
P: 0.333 0.667 0.275
P: 0.667 0.333 0.725
Pd: 0.333 0.667 0.733
Pd: 0.667 0.333 0.267

Computed properties:
* energy: -5.816 eV per atom
* density: 6.628 g/cm3
* DOS(E_F): 2.48 states/eV/cell
* magnetic moment: 0.000 μB/atom
* calculated volume: 138 Å³/cell
* DFT formation energy: -1.14 eV per atom

***

Entry 12:
Material: Ba2LaSbP
Method: DFT, GGA-PBE
State: relaxed

a = 6.040 Å, b = 6.040 Å, c = 5.623 Å
α = 90.00°, β = 90.00°, γ = 90.00°
Atoms (fractional coordinates):
Ba: 0.000 0.500 0.000
Ba: 0.500 0.000 0.000
La: 0.000 0.000 0.500
Sb: 0.500 0.500 0.500
P: 0.000 0.000 0.000

Computed properties:
* E above lowest polymorph: 0 meV/atom
* energy: -4.439 eV per atom
* density: 4.584 g/cm3
* DOS(E_F): 3.43 states/eV/cell
* magnetic moment: 0.000 μB/atom
* calculated volume: 205 Å³/cell

***

Entry 13:
Material: BaLa2SbP
Method: DFT, GGA-PBE
State: relaxed

a = 5.960 Å, b = 5.960 Å, c = 6.358 Å
α = 90.00°, β = 90.00°, γ = 90.00°
Atoms (fractional coordinates):
Ba: 0.000 0.000 0.000
La: 0.000 0.500 0.500
La: 0.500 0.000 0.500
Sb: 0.000 0.000 0.500
P: 0.500 0.500 0.000

Computed properties:
* energy: -4.269 eV per atom
* density: 4.176 g/cm3
* DOS(E_F): 5.67 states/eV/cell
* magnetic moment: 0.000 μB/atom
* calculated volume: 226 Å³/cell

***

Entry 14:
Material: BaLa2ScP
Method: DFT, GGA-PBE
State: relaxed

a = 5.790 Å, b = 5.790 Å, c = 5.116 Å
α = 90.00°, β = 90.00°, γ = 90.00°
Atoms (fractional coordinates):
Ba: 0.000 0.000 0.000
La: 0.000 0.500 0.500
La: 0.500 0.000 0.500
Sc: 0.500 0.500 0.500
P: 0.500 0.500 0.000

Computed properties:
* energy: -4.550 eV per atom
* density: 4.754 g/cm3
* DOS(E_F): 6.65 states/eV/cell
* magnetic moment: 0.036 μB/atom
* calculated volume: 172 Å³/cell
* DFT formation energy: 0.15 eV per atom

***

Entry 15:
Material: Ba2LaTeP
Method: DFT, GGA-PBE
State: relaxed

a = 6.701 Å, b = 6.701 Å, c = 5.830 Å
α = 90.00°, β = 90.00°, γ = 90.00°
Atoms (fractional coordinates):
Ba: 0.000 0.500 0.000
Ba: 0.500 0.000 0.000
La: 0.000 0.000 0.000
Te: 0.000 0.000 0.500
P: 0.500 0.500 0.500

Computed properties:
* energy: -3.111 eV per atom
* density: 3.629 g/cm3
* DOS(E_F): 6.85 states/eV/cell
* magnetic moment: 0.206 μB/atom
* calculated volume: 262 Å³/cell

***

Entry 16:
Material: Ba2LaPaS6
Method: DFT, GGA-PBE
State: relaxed

a = 7.329 Å, b = 7.676 Å, c = 12.827 Å
α = 90.00°, β = 124.68°, γ = 90.00°
Atoms (fractional coordinates):
Ba: 0.230 0.066 0.251
Ba: 0.230 0.434 0.751
Ba: 0.770 0.566 0.249
Ba: 0.770 0.934 0.749
La: 0.500 0.000 0.000
La: 0.500 0.500 0.500
Pa: 0.000 0.000 0.500
Pa: 0.000 0.500 0.000
S: 0.134 0.213 0.945
S: 0.134 0.287 0.445
S: 0.239 0.692 0.949
S: 0.239 0.808 0.449
S: 0.339 0.031 0.740
S: 0.339 0.469 0.240
S: 0.661 0.531 0.760
S: 0.661 0.969 0.260
S: 0.761 0.192 0.551
S: 0.761 0.308 0.051
S: 0.866 0.713 0.555
S: 0.866 0.787 0.055

Computed properties:
* energy: -6.304 eV per atom
* density: 4.684 g/cm3
* DOS(E_F): 0.00 states/eV/cell
* magnetic moment: 0.000 μB/atom
* calculated volume: 593 Å³/cell

***

Entry 17:
Material: Ba2LaPaSe6
Method: DFT, GGA-PBE
State: relaxed

a = 7.567 Å, b = 8.048 Å, c = 13.324 Å
α = 90.00°, β = 124.42°, γ = 90.00°
Atoms (fractional coordinates):
Ba: 0.225 0.076 0.250
Ba: 0.225 0.424 0.750
Ba: 0.775 0.576 0.250
Ba: 0.775 0.924 0.750
La: 0.500 0.000 0.000
La: 0.500 0.500 0.500
Pa: 0.000 0.000 0.500
Pa: 0.000 0.500 0.000
Se: 0.128 0.208 0.944
Se: 0.128 0.292 0.444
Se: 0.244 0.689 0.947
Se: 0.244 0.811 0.447
Se: 0.344 0.029 0.741
Se: 0.344 0.471 0.241
Se: 0.656 0.529 0.759
Se: 0.656 0.971 0.259
Se: 0.756 0.189 0.553
Se: 0.756 0.311 0.053
Se: 0.872 0.708 0.556
Se: 0.872 0.792 0.056

Computed properties:
* energy: -5.757 eV per atom
* density: 5.549 g/cm3
* magnetic moment: 0.000 μB/atom
* calculated volume: 669 Å³/cell

***

Entry 18:
Material: BaLa3Pb
Method: DFT, GGA-PBE
State: relaxed

a = 5.870 Å, b = 5.870 Å, c = 5.870 Å
α = 90.00°, β = 90.00°, γ = 90.00°
Atoms (fractional coordinates):
Ba: 0.000 0.000 0.000
La: 0.000 0.000 0.500
La: 0.000 0.500 0.000
La: 0.500 0.000 0.000
Pb: 0.500 0.500 0.500

Computed properties:
* E above lowest polymorph: 530 meV/atom
* energy: -3.434 eV per atom
* density: 6.251 g/cm3
* DOS(E_F): 6.86 states/eV/cell
* magnetic moment: 0.000 μB/atom
* calculated volume: 202 Å³/cell
* DFT formation energy: 0.65 eV per atom

***

Entry 19:
Material: Ba3LaPb
Method: DFT, GGA-PBE
State: relaxed

a = 6.301 Å, b = 6.301 Å, c = 6.301 Å
α = 90.00°, β = 90.00°, γ = 90.00°
Atoms (fractional coordinates):
Ba: 0.000 0.000 0.500
Ba: 0.000 0.500 0.000
Ba: 0.500 0.000 0.000
La: 0.000 0.000 0.000
Pb: 0.500 0.500 0.500

Computed properties:
* energy: -2.357 eV per atom
* density: 5.033 g/cm3
* DOS(E_F): 9.37 states/eV/cell
* magnetic moment: 0.000 μB/atom
* calculated volume: 250 Å³/cell
* DFT formation energy: 0.52 eV per atom

***

Entry 20:
Material: BaLa3Pb
Method: DFT, GGA-PBE
State: relaxed

a = 6.270 Å, b = 6.270 Å, c = 6.270 Å
α = 90.00°, β = 90.00°, γ = 90.00°
Atoms (fractional coordinates):
Ba: 0.000 0.000 0.000
La: 0.000 0.500 0.500
La: 0.500 0.000 0.500
La: 0.500 0.500 0.000
Pb: 0.500 0.500 0.500

Computed properties:
* E above lowest polymorph: 0 meV/atom
* energy: -3.963 eV per atom
* density: 5.128 g/cm3
* DOS(E_F): 12.41 states/eV/cell
* magnetic moment: 0.000 μB/atom
* calculated volume: 247 Å³/cell
* DFT formation energy: 0.12 eV per atom